# Be2NiIr

A relaxed structure of Be2NiIr (GGA-PBEsol, Alexandria).

Results
For the energy relative to the elements, the calculation gives -1.5 eV/f.u. The calculation puts the energy above the most stable polymorph in this dataset at 208 meV/atom. The spin magnetization comes out at 0.0 μB/f.u. The calculated total energy is -6.3637 eV per atom.

Unit cell a=8.3463 b=2.7084 c=3.7985 alpha=90.00 beta=109.81 gamma=90.00
Sites, in units of the cell vectors:
Be  0.0000  0.0000  0.0000
Be  0.2423  0.5000  0.3270
Be  0.5000  0.5000  0.0000
Be  0.7423  0.0000  0.3270
Ni  0.2558  0.0000  0.8472
Ni  0.7558  0.5000  0.8472
Ir  0.4929  0.0000  0.4932
Ir  0.9929  0.5000  0.4932



# SrSi2Pt

A relaxed structure of SrSi2Pt (GGA-PBEsol, Alexandria).

Results
The spin magnetization comes out at 0.0 μB/f.u. The calculated total energy is -5.8497 eV per atom.

Unit cell a=4.0894 b=4.0894 c=16.7026 alpha=90.00 beta=90.00 gamma=120.00
Sites, in units of the cell vectors:
Sr  0.0000  0.0000  0.0000
Sr  0.3333  0.6667  0.6667
Sr  0.6667  0.3333  0.3333
Si  0.0000  0.0000  0.2103
Si  0.0000  0.0000  0.7897
Si  0.3333  0.6667  0.4564
Si  0.3333  0.6667  0.8770
Si  0.6667  0.3333  0.1230
Si  0.6667  0.3333  0.5436
Pt  0.0000  0.0000  0.5000
Pt  0.3333  0.6667  0.1667
Pt  0.6667  0.3333  0.8333



# MgSc2B

A relaxed structure of MgSc2B (GGA-PBEsol, Alexandria).

Results
For the energy relative to the elements, the calculation gives 0.8 eV/f.u. The spin magnetization comes out at 0.0 μB/f.u. The calculated total energy is -5.2925 eV per atom.

Unit cell a=6.3993 b=6.3993 c=6.3993 alpha=90.00 beta=90.00 gamma=90.00
Sites, in units of the cell vectors:
Mg  0.0000  0.0000  0.0000
Mg  0.0000  0.5000  0.5000
Mg  0.5000  0.0000  0.5000
Mg  0.5000  0.5000  0.0000
Sc  0.2500  0.2500  0.2500
Sc  0.2500  0.2500  0.7500
Sc  0.2500  0.7500  0.2500
Sc  0.2500  0.7500  0.7500
Sc  0.7500  0.2500  0.2500
Sc  0.7500  0.2500  0.7500
Sc  0.7500  0.7500  0.2500
Sc  0.7500  0.7500  0.7500
B  0.0000  0.0000  0.5000
B  0.0000  0.5000  0.0000
B  0.5000  0.0000  0.0000
B  0.5000  0.5000  0.5000



# As2PPt

A relaxed structure of As2PPt (GGA-PBEsol, Alexandria).

Results
For the energy relative to the elements, the calculation gives 1.5 eV/f.u. The spin magnetization comes out at 0.0 μB/f.u. The calculated total energy is -5.3690 eV per atom.

Unit cell a=4.0215 b=4.0215 c=4.0348 alpha=90.00 beta=90.00 gamma=90.00
Sites, in units of the cell vectors:
As  0.0000  0.5000  0.0000
As  0.5000  0.0000  0.0000
P  0.0000  0.0000  0.5000
Pt  0.5000  0.5000  0.5000



# Na2AlAgCl6

A relaxed structure of Na2AlAgCl6 (GGA-PBEsol, Alexandria).

Results
The spin magnetization comes out at 0.0 μB/f.u. The calculated total energy is -3.5184 eV per atom.

Unit cell a=6.9577 b=6.9577 c=6.9577 alpha=60.00 beta=60.00 gamma=60.00
Sites, in units of the cell vectors:
Na  0.2500  0.2500  0.2500
Na  0.7500  0.7500  0.7500
Al  0.0000  0.0000  0.0000
Ag  0.5000  0.5000  0.5000
Cl  0.2351  0.2351  0.7649
Cl  0.2351  0.7649  0.2351
Cl  0.2351  0.7649  0.7649
Cl  0.7649  0.2351  0.2351
Cl  0.7649  0.2351  0.7649
Cl  0.7649  0.7649  0.2351



# ZrBe

A relaxed structure of ZrBe (GGA-PBEsol, Alexandria).

Results
For the energy relative to the elements, the calculation gives 0.1 eV/f.u. The spin magnetization comes out at 0.0 μB/f.u. The calculated total energy is -6.5038 eV per atom.

Unit cell a=4.2603 b=4.2603 c=4.0092 alpha=90.00 beta=90.00 gamma=120.00
Sites, in units of the cell vectors:
Zr  0.3333  0.6667  0.2500
Zr  0.6667  0.3333  0.7500
Be  0.0000  0.0000  0.0000
Be  0.0000  0.0000  0.5000



# Ag2SI

A relaxed structure of Ag2SI (GGA-PBEsol, Alexandria).

Results
The calculation puts the energy above the most stable polymorph in this dataset at 382 meV/atom. The spin magnetization comes out at 0.0 μB/f.u. The calculated total energy is -2.8236 eV per atom.

Unit cell a=6.9249 b=6.9249 c=6.9249 alpha=90.00 beta=90.00 gamma=90.00
Sites, in units of the cell vectors:
Ag  0.2500  0.2500  0.2500
Ag  0.2500  0.2500  0.7500
Ag  0.2500  0.7500  0.2500
Ag  0.2500  0.7500  0.7500
Ag  0.7500  0.2500  0.2500
Ag  0.7500  0.2500  0.7500
Ag  0.7500  0.7500  0.2500
Ag  0.7500  0.7500  0.7500
S  0.0000  0.0000  0.0000
S  0.0000  0.5000  0.5000
S  0.5000  0.0000  0.5000
S  0.5000  0.5000  0.0000
I  0.0000  0.0000  0.5000
I  0.0000  0.5000  0.0000
I  0.5000  0.0000  0.0000
I  0.5000  0.5000  0.5000



# ZnFeTc2

A relaxed structure of ZnFeTc2 (GGA-PBEsol, Alexandria).

Results
For the energy relative to the elements, the calculation gives 0.8 eV/f.u. The spin magnetization comes out at 0.0 μB/f.u. The calculated total energy is -8.0602 eV per atom.

Unit cell a=5.8977 b=5.8977 c=5.8977 alpha=90.00 beta=90.00 gamma=90.00
Sites, in units of the cell vectors:
Zn  0.0000  0.0000  0.0000
Zn  0.0000  0.5000  0.5000
Zn  0.5000  0.0000  0.5000
Zn  0.5000  0.5000  0.0000
Fe  0.2500  0.2500  0.2500
Fe  0.2500  0.7500  0.7500
Fe  0.7500  0.2500  0.7500
Fe  0.7500  0.7500  0.2500
Tc  0.0000  0.0000  0.5000
Tc  0.0000  0.5000  0.0000
Tc  0.2500  0.2500  0.7500
Tc  0.2500  0.7500  0.2500
Tc  0.5000  0.0000  0.0000
Tc  0.5000  0.5000  0.5000
Tc  0.7500  0.2500  0.2500
Tc  0.7500  0.7500  0.7500



# K2AlNi

A relaxed structure of K2AlNi (GGA-PBEsol, Alexandria).

Results
For the energy relative to the elements, the calculation gives 1.5 eV/f.u. The spin magnetization comes out at 0.0 μB/f.u. The calculated total energy is -2.7543 eV per atom.

Unit cell a=4.0551 b=5.7170 c=10.5332 alpha=90.00 beta=90.00 gamma=90.00
Sites, in units of the cell vectors:
K  0.0000  0.0000  0.0000
K  0.0000  0.5000  0.1906
K  0.5000  0.0000  0.6906
K  0.5000  0.5000  0.5000
Al  0.0000  0.5000  0.8015
Al  0.5000  0.0000  0.3015
Ni  0.0000  0.0000  0.3974
Ni  0.5000  0.5000  0.8974



# Zn2As

A relaxed structure of Zn2As (GGA-PBEsol, Alexandria).

Results
For the energy relative to the elements, the calculation gives 1.2 eV/f.u. The calculation puts the energy above the most stable polymorph in this dataset at 236 meV/atom. The spin magnetization comes out at 0.0 μB/f.u. The calculated total energy is -2.3531 eV per atom.

Unit cell a=5.4135 b=5.4135 c=5.4135 alpha=90.00 beta=90.00 gamma=90.00
Sites, in units of the cell vectors:
Zn  0.0000  0.0000  0.0000
Zn  0.0000  0.5000  0.5000
Zn  0.5000  0.0000  0.5000
Zn  0.5000  0.5000  0.0000
As  0.2500  0.2500  0.2500
As  0.7500  0.7500  0.7500



# ZnGaSn2

A relaxed structure of ZnGaSn2 (GGA-PBEsol, Alexandria).

Results
For the energy relative to the elements, the calculation gives 0.4 eV/f.u. The spin magnetization comes out at 0.0 μB/f.u. The calculated total energy is -3.2622 eV per atom.

Unit cell a=6.9976 b=6.9976 c=6.9976 alpha=90.00 beta=90.00 gamma=90.00
Sites, in units of the cell vectors:
Zn  0.0000  0.0000  0.0000
Zn  0.0000  0.5000  0.5000
Zn  0.5000  0.0000  0.5000
Zn  0.5000  0.5000  0.0000
Ga  0.0000  0.0000  0.5000
Ga  0.0000  0.5000  0.0000
Ga  0.5000  0.0000  0.0000
Ga  0.5000  0.5000  0.5000
Sn  0.2500  0.2500  0.2500
Sn  0.2500  0.2500  0.7500
Sn  0.2500  0.7500  0.2500
Sn  0.2500  0.7500  0.7500
Sn  0.7500  0.2500  0.2500
Sn  0.7500  0.2500  0.7500
Sn  0.7500  0.7500  0.2500
Sn  0.7500  0.7500  0.7500



# RbCoTeN2

A relaxed structure of RbCoTeN2 (GGA-PBEsol, Alexandria).

Results
The spin magnetization comes out at 7.9 μB/f.u. The calculated total energy is -3.0976 eV per atom.

Unit cell a=4.8369 b=4.8369 c=6.9755 alpha=90.00 beta=90.00 gamma=90.00
Sites, in units of the cell vectors:
Rb  0.0000  0.0000  0.0000
Co  0.5000  0.5000  0.5000
Te  0.0000  0.0000  0.5000
N  0.0000  0.5000  0.0000
N  0.5000  0.0000  0.0000